Entry 1:
# GGA-PBEsol FeTcPt2, optimized geometry
data_FeTcPt2
_chemical_formula_sum 'Fe1 Tc1 Pt2'
_cell_length_a 2.682
_cell_length_b 2.682
_cell_length_c 7.680
_cell_angle_alpha 90.00
_cell_angle_beta 90.00
_cell_angle_gamma 90.00
_symmetry_space_group_name_H-M 'P 1'
_symmetry_Int_Tables_number 1
loop_
_symmetry_equiv_pos_as_xyz
'x,y,z'
loop_
_atom_site_label
_atom_site_fract_x
_atom_site_fract_y
_atom_site_fract_z
Pt1 0.000 0.000 0.255
Pt2 0.000 0.000 0.745
Fe1 0.500 0.500 0.500
Tc1 0.500 0.500 0.000
# Space-group type: P4/mmm (123)
# Formation energy: -0.161 eV per atom
# Relative energy among the computed polymorphs: 0.000 eV/atom

***

Entry 2:
# GGA-PBEsol Fe4TcPt, optimized geometry
data_Fe4TcPt
_chemical_formula_sum 'Fe4 Tc1 Pt1'
_cell_length_a 4.632
_cell_length_b 4.632
_cell_length_c 4.632
_cell_angle_alpha 60.00
_cell_angle_beta 60.00
_cell_angle_gamma 60.00
_symmetry_space_group_name_H-M 'P 1'
_symmetry_Int_Tables_number 1
loop_
_symmetry_equiv_pos_as_xyz
'x,y,z'
loop_
_atom_site_label
_atom_site_fract_x
_atom_site_fract_y
_atom_site_fract_z
Pt1 0.250 0.250 0.250
Fe1 0.625 0.124 0.625
Fe2 0.124 0.625 0.625
Fe3 0.625 0.625 0.124
Fe4 0.625 0.625 0.625
Tc1 0.000 0.000 0.000
# Space-group type: F-43m (216)
# Formation energy: -0.026 eV per atom

***

Entry 3:
# GGA-PBEsol FeTcPt2, optimized geometry
data_FeTcPt2
_chemical_formula_sum 'Fe1 Tc1 Pt2'
_cell_length_a 2.665
_cell_length_b 4.355
_cell_length_c 4.770
_cell_angle_alpha 90.00
_cell_angle_beta 90.00
_cell_angle_gamma 90.00
_symmetry_space_group_name_H-M 'P 1'
_symmetry_Int_Tables_number 1
loop_
_symmetry_equiv_pos_as_xyz
'x,y,z'
loop_
_atom_site_label
_atom_site_fract_x
_atom_site_fract_y
_atom_site_fract_z
Tc1 0.500 0.000 0.534
Pt1 0.000 0.500 0.705
Pt2 0.000 0.000 0.045
Fe1 0.500 0.500 0.216
# Space-group type: Pmm2 (25)
# Formation energy: -0.148 eV per atom
# Relative energy among the computed polymorphs: 0.013 eV/atom

***

Entry 4:
# GGA-PBEsol FeTe2Pt, optimized geometry
data_FeTe2Pt
_chemical_formula_sum 'Fe1 Te2 Pt1'
_cell_length_a 3.940
_cell_length_b 3.938
_cell_length_c 6.790
_cell_angle_alpha 73.18
_cell_angle_beta 73.13
_cell_angle_gamma 59.98
_symmetry_space_group_name_H-M 'P 1'
_symmetry_Int_Tables_number 1
loop_
_symmetry_equiv_pos_as_xyz
'x,y,z'
loop_
_atom_site_label
_atom_site_fract_x
_atom_site_fract_y
_atom_site_fract_z
Pt1 0.235 0.235 0.294
Fe1 0.514 0.514 0.457
Te1 0.972 0.972 0.083
Te2 0.778 0.778 0.666
# Space-group type: Cm (8)
# Energy relative to the elements, uncorrected: -0.0595 eV per atom
# Relative energy among the computed polymorphs: 0.000 eV/atom

***

Entry 5:
# GGA-PBEsol FeTePt2, optimized geometry
data_FeTePt2
_chemical_formula_sum 'Fe1 Te1 Pt2'
_cell_length_a 3.897
_cell_length_b 3.897
_cell_length_c 4.194
_cell_angle_alpha 90.00
_cell_angle_beta 90.00
_cell_angle_gamma 90.00
_symmetry_space_group_name_H-M 'P 1'
_symmetry_Int_Tables_number 1
loop_
_symmetry_equiv_pos_as_xyz
'x,y,z'
loop_
_atom_site_label
_atom_site_fract_x
_atom_site_fract_y
_atom_site_fract_z
Pt1 0.000 0.500 0.000
Pt2 0.500 0.000 0.000
Fe1 0.000 0.000 0.500
Te1 0.500 0.500 0.500
# Space-group type: P4/mmm (123)
# Energy relative to the elements, uncorrected: 0.1408 eV per atom

***

Entry 6:
# GGA-PBEsol FeTe2Pt, optimized geometry
data_FeTe2Pt
_chemical_formula_sum 'Fe1 Te2 Pt1'
_cell_length_a 3.474
_cell_length_b 3.474
_cell_length_c 6.932
_cell_angle_alpha 90.00
_cell_angle_beta 90.00
_cell_angle_gamma 90.00
_symmetry_space_group_name_H-M 'P 1'
_symmetry_Int_Tables_number 1
loop_
_symmetry_equiv_pos_as_xyz
'x,y,z'
loop_
_atom_site_label
_atom_site_fract_x
_atom_site_fract_y
_atom_site_fract_z
Fe1 0.000 0.000 0.526
Te1 0.500 0.500 0.350
Te2 0.000 0.000 0.896
Pt1 0.500 0.500 0.727
# Space-group type: P4mm (99)
# Energy relative to the elements, uncorrected: 0.0195 eV per atom
# Relative energy among the computed polymorphs: 0.079 eV/atom

***

Entry 7:
# GGA-PBEsol FeTe2Pt, optimized geometry
data_FeTe2Pt
_chemical_formula_sum 'Fe2 Te4 Pt2'
_cell_length_a 5.856
_cell_length_b 5.856
_cell_length_c 7.097
_cell_angle_alpha 114.36
_cell_angle_beta 114.36
_cell_angle_gamma 90.00
_symmetry_space_group_name_H-M 'P 1'
_symmetry_Int_Tables_number 1
loop_
_symmetry_equiv_pos_as_xyz
'x,y,z'
loop_
_atom_site_label
_atom_site_fract_x
_atom_site_fract_y
_atom_site_fract_z
Pt1 0.000 0.000 0.000
Pt2 0.250 0.750 0.500
Te1 0.857 0.375 0.250
Te2 0.393 0.875 0.250
Te3 0.625 0.607 0.750
Te4 0.125 0.143 0.750
Fe1 0.500 0.500 0.000
Fe2 0.750 0.250 0.500
# Space-group type: I-42d (122)
# Energy relative to the elements, uncorrected: 0.1571 eV per atom
# Relative energy among the computed polymorphs: 0.217 eV/atom

***

Entry 8:
# GGA-PBEsol FeTePt2, optimized geometry
data_FeTePt2
_chemical_formula_sum 'Fe1 Te1 Pt2'
_cell_length_a 3.940
_cell_length_b 3.940
_cell_length_c 4.965
_cell_angle_alpha 113.49
_cell_angle_beta 113.37
_cell_angle_gamma 90.00
_symmetry_space_group_name_H-M 'P 1'
_symmetry_Int_Tables_number 1
loop_
_symmetry_equiv_pos_as_xyz
'x,y,z'
loop_
_atom_site_label
_atom_site_fract_x
_atom_site_fract_y
_atom_site_fract_z
Fe1 0.000 0.500 0.000
Te1 0.500 0.000 0.000
Pt1 0.250 0.250 0.500
Pt2 0.750 0.750 0.500
# Space-group type: C2/m (12)
# Energy relative to the elements, uncorrected: 0.1326 eV per atom